1.
Here is a relaxed structure of SrZn12Cu4 from the Alexandria database. Energies are from PBE.

CIF file:
```
data_SrZn12Cu4
_chemical_formula_sum 'Sr2 Zn24 Cu8'
_space_group_name_H-M_alt 'I m -3'
_space_group_IT_number 204
_space_group_name_Hall '-I 2 2 3'
_cell_length_a 8.611
_cell_length_b 8.611
_cell_length_c 8.611
_cell_angle_alpha 90.00
_cell_angle_beta 90.00
_cell_angle_gamma 90.00
loop_
_atom_site_label
_atom_site_type_symbol
_atom_site_fract_x
_atom_site_fract_y
_atom_site_fract_z
Sr1 Sr 0.000 0.000 0.000
Zn1 Zn 0.000 0.160 0.353
Cu1 Cu 0.250 0.250 0.250
```


2.
Here is a relaxed structure of NpCu4Au from the Alexandria database. Energies are from PBE.

CIF file:
```
data_NpCu4Au
_chemical_formula_sum 'Np4 Cu16 Au4'
_space_group_name_H-M_alt 'F -4 3 m'
_space_group_IT_number 216
_space_group_name_Hall 'F -4 2 3'
_cell_length_a 7.172
_cell_length_b 7.172
_cell_length_c 7.172
_cell_angle_alpha 90.00
_cell_angle_beta 90.00
_cell_angle_gamma 90.00
loop_
_atom_site_label
_atom_site_type_symbol
_atom_site_fract_x
_atom_site_fract_y
_atom_site_fract_z
Np1 Np 0.000 0.000 0.000
Cu1 Cu 0.124 0.124 0.624
Au1 Au 0.250 0.250 0.250
```


3.
Here is a relaxed structure of Sm2Tm3Sc3 from the Alexandria database. Energies are from PBE.

CIF file:
```
data_Sm2Tm3Sc3
_chemical_formula_sum 'Sm4 Tm6 Sc6'
_space_group_name_H-M_alt 'C 1 2/m 1'
_space_group_IT_number 12
_space_group_name_Hall '-C 2y'
_cell_length_a 22.920
_cell_length_b 3.470
_cell_length_c 5.969
_cell_angle_alpha 90.00
_cell_angle_beta 104.92
_cell_angle_gamma 90.00
loop_
_atom_site_label
_atom_site_type_symbol
_atom_site_fract_x
_atom_site_fract_y
_atom_site_fract_z
Sm1 Sm 0.247 0.000 0.243
Tm1 Tm 0.000 0.000 0.000
Tm2 Tm 0.122 0.000 0.461
Sc1 Sc 0.000 0.500 0.500
Sc2 Sc 0.122 0.500 0.955
```


4.
Here is a relaxed structure of TmTaTiO6 from the Alexandria database. Energies are from PBE.

Results
As for the uncorrected formation energy: -3201 meV per atom.

CIF file:
```
data_TmTaTiO6
_chemical_formula_sum 'Tm4 Ta4 Ti4 O24'
_space_group_name_H-M_alt 'P 1 21/c 1'
_space_group_IT_number 14
_space_group_name_Hall '-P 2ybc'
_cell_length_a 5.193
_cell_length_b 14.671
_cell_length_c 5.592
_cell_angle_alpha 90.00
_cell_angle_beta 90.36
_cell_angle_gamma 90.00
loop_
_atom_site_label
_atom_site_type_symbol
_atom_site_fract_x
_atom_site_fract_y
_atom_site_fract_z
Tm1 Tm 0.247 0.000 0.229
Ta1 Ta 0.318 0.168 0.679
Ti1 Ti 0.186 0.663 0.188
O1 O 0.027 0.091 0.563
O2 O 0.081 0.585 0.411
O3 O 0.145 0.240 0.368
O4 O 0.360 0.742 0.860
O5 O 0.419 0.083 0.909
O6 O 0.473 0.592 0.070
```


5.
Here is a relaxed structure of MnSiPd from the Alexandria database. Energies are from PBE.

Results
As for the uncorrected formation energy: -433 meV per atom.

CIF file:
```
data_MnSiPd
_chemical_formula_sum 'Mn3 Si3 Pd3'
_space_group_name_H-M_alt 'P -6 2 m'
_space_group_IT_number 189
_space_group_name_Hall 'P -6 -2'
_cell_length_a 6.4602
_cell_length_b 6.4602
_cell_length_c 3.5237
_cell_angle_alpha 90.00
_cell_angle_beta 90.00
_cell_angle_gamma 120.00
loop_
_atom_site_label
_atom_site_type_symbol
_atom_site_fract_x
_atom_site_fract_y
_atom_site_fract_z
Mn1 Mn 0.0000 0.5972 0.0000
Si1 Si 0.0000 0.0000 0.0000
Si2 Si 0.3333 0.6667 0.5000
Pd1 Pd 0.0000 0.2636 0.5000
```


6.
Here is a relaxed structure of SmNp2Te5 from the Alexandria database. Energies are from PBE.

Results
As for the uncorrected formation energy: -92 meV per atom.

CIF file:
```
data_SmNp2Te5
_chemical_formula_sum 'Sm1 Np2 Te5'
_space_group_name_H-M_alt 'P 4/m m m'
_space_group_IT_number 123
_space_group_name_Hall '-P 4 2'
_cell_length_a 7.433
_cell_length_b 7.433
_cell_length_c 5.491
_cell_angle_alpha 90.00
_cell_angle_beta 90.00
_cell_angle_gamma 90.00
loop_
_atom_site_label
_atom_site_type_symbol
_atom_site_fract_x
_atom_site_fract_y
_atom_site_fract_z
Sm1 Sm 0.000 0.000 0.000
Np1 Np 0.000 0.500 0.500
Te1 Te 0.000 0.000 0.500
Te2 Te 0.284 0.284 0.000
```


7.
Here is a relaxed structure of RuPtW2 from the Alexandria database. Energies are from PBE.

Results
The value obtained for the offset from the most stable computed form is 1.23 kcal/mol of atoms.

CIF file:
```
data_RuPtW2
_chemical_formula_sum 'Ru1 Pt1 W2'
_space_group_name_H-M_alt 'P m m 2'
_space_group_IT_number 25
_space_group_name_Hall 'P 2 -2'
_cell_length_a 2.799
_cell_length_b 4.491
_cell_length_c 4.863
_cell_angle_alpha 90.00
_cell_angle_beta 90.00
_cell_angle_gamma 90.00
loop_
_atom_site_label
_atom_site_type_symbol
_atom_site_fract_x
_atom_site_fract_y
_atom_site_fract_z
Ru1 Ru 0.000 0.000 0.000
Pt1 Pt 0.000 0.500 0.352
W1 W 0.500 0.000 0.509
W2 W 0.500 0.500 0.851
```


8.
Here is a relaxed structure of TbDyTlZn from the Alexandria database. Energies are from PBE.

Results
The value obtained for the offset from the most stable computed form is 0.57 kcal/mol of atoms.

CIF file:
```
data_TbDyTlZn
_chemical_formula_sum 'Tb4 Dy4 Tl4 Zn4'
_space_group_name_H-M_alt 'F -4 3 m'
_space_group_IT_number 216
_space_group_name_Hall 'F -4 2 3'
_cell_length_a 7.406
_cell_length_b 7.406
_cell_length_c 7.406
_cell_angle_alpha 90.00
_cell_angle_beta 90.00
_cell_angle_gamma 90.00
loop_
_atom_site_label
_atom_site_type_symbol
_atom_site_fract_x
_atom_site_fract_y
_atom_site_fract_z
Tb1 Tb 0.000 0.000 0.000
Dy1 Dy 0.000 0.000 0.500
Tl1 Tl 0.250 0.250 0.250
Zn1 Zn 0.250 0.250 0.750
```


| no. | electronic total energy (eV per atom) |
| --- | --- |
| 1 | -1.805 |
| 2 | -5.436 |
| 3 | -5.198 |
| 4 | -9.198 |
| 5 | -7.028 |
| 6 | -5.880 |
| 7 | -10.424 |
| 8 | -3.546 |